# LiS2BrN PBE relaxed
data_LiS2BrN
_cell_length_a 3.836
_cell_length_b 3.836
_cell_length_c 8.284
_cell_angle_alpha 90.00
_cell_angle_beta 90.00
_cell_angle_gamma 90.00
_space_group_name_H-M_alt 'P 4/m m m'
_space_group_IT_number 123
_space_group_name_Hall '-P 4 2'
loop_
_atom_site_label
_atom_site_type_symbol
_atom_site_fract_x
_atom_site_fract_y
_atom_site_fract_z
Li1 Li 0.000 0.000 0.000
S1 S 0.000 0.500 0.500
Br1 Br 0.500 0.500 0.000
N1 N 0.500 0.500 0.500
# Distance to the lowest polymorph of the same formula = 0.00 eV/f.u.
# Magnetization = 0.000 μB/atom
# Crystal system = tetragonal
# DOS at the Fermi energy = 5.01 states/eV/f.u.
# Theoretical density = 2.25 Mg/m³

***

# LiSb2BrN PBE relaxed
data_LiSb2BrN
_cell_length_a 4.434
_cell_length_b 4.434
_cell_length_c 7.979
_cell_angle_alpha 90.00
_cell_angle_beta 90.00
_cell_angle_gamma 90.00
_space_group_name_H-M_alt 'P 4/m m m'
_space_group_IT_number 123
_space_group_name_Hall '-P 4 2'
loop_
_atom_site_label
_atom_site_type_symbol
_atom_site_fract_x
_atom_site_fract_y
_atom_site_fract_z
Li1 Li 0.000 0.000 0.000
Sb1 Sb 0.000 0.500 0.500
Br1 Br 0.500 0.500 0.000
N1 N 0.500 0.500 0.500
# Magnetization = 0.000 μB/atom
# Crystal system = tetragonal
# DOS at the Fermi energy = 4.55 states/eV/f.u.
# Theoretical density = 3.64 Mg/m³
# Uncorrected energy = -18.482 eV/cell

***

# LiSe2BrN PBE relaxed
data_LiSe2BrN
_cell_length_a 4.922
_cell_length_b 4.922
_cell_length_c 3.933
_cell_angle_alpha 90.00
_cell_angle_beta 90.00
_cell_angle_gamma 90.00
_space_group_name_H-M_alt 'P 4/m m m'
_space_group_IT_number 123
_space_group_name_Hall '-P 4 2'
loop_
_atom_site_label
_atom_site_type_symbol
_atom_site_fract_x
_atom_site_fract_y
_atom_site_fract_z
Li1 Li 0.000 0.000 0.000
Se1 Se 0.000 0.500 0.000
Br1 Br 0.500 0.500 0.500
N1 N 0.000 0.000 0.500
# Distance to the lowest polymorph of the same formula = 4.02 eV/f.u.
# Magnetization = 0.332 μB/atom
# Crystal system = tetragonal
# DOS at the Fermi energy = 3.93 states/eV/f.u.
# Theoretical density = 4.51 Mg/m³

***

# LiSe2BrN PBE relaxed
data_LiSe2BrN
_cell_length_a 5.524
_cell_length_b 5.524
_cell_length_c 3.667
_cell_angle_alpha 90.00
_cell_angle_beta 90.00
_cell_angle_gamma 90.00
_space_group_name_H-M_alt 'P 4/m m m'
_space_group_IT_number 123
_space_group_name_Hall '-P 4 2'
loop_
_atom_site_label
_atom_site_type_symbol
_atom_site_fract_x
_atom_site_fract_y
_atom_site_fract_z
Li1 Li 0.000 0.000 0.000
Se1 Se 0.000 0.500 0.500
Br1 Br 0.500 0.500 0.500
N1 N 0.500 0.500 0.000
# Distance to the lowest polymorph of the same formula = 4.01 eV/f.u.
# Magnetization = 0.000 μB/atom
# Crystal system = tetragonal
# DOS at the Fermi energy = 4.67 states/eV/f.u.
# Theoretical density = 3.84 Mg/m³

***

# LiSe2BrN PBE relaxed
data_LiSe2BrN
_cell_length_a 4.093
_cell_length_b 4.093
_cell_length_c 8.493
_cell_angle_alpha 90.00
_cell_angle_beta 90.00
_cell_angle_gamma 90.00
_space_group_name_H-M_alt 'P 4/m m m'
_space_group_IT_number 123
_space_group_name_Hall '-P 4 2'
loop_
_atom_site_label
_atom_site_type_symbol
_atom_site_fract_x
_atom_site_fract_y
_atom_site_fract_z
Li1 Li 0.000 0.000 0.000
Se1 Se 0.000 0.500 0.500
Br1 Br 0.500 0.500 0.000
N1 N 0.500 0.500 0.500
# Distance to the lowest polymorph of the same formula = 0.00 eV/f.u.
# Magnetization = 0.000 μB/atom
# Crystal system = tetragonal
# DOS at the Fermi energy = 2.01 states/eV/f.u.
# Theoretical density = 3.02 Mg/m³

***

# LiSe2BrN PBE relaxed
data_LiSe2BrN
_cell_length_a 4.768
_cell_length_b 4.768
_cell_length_c 5.131
_cell_angle_alpha 90.00
_cell_angle_beta 90.00
_cell_angle_gamma 90.00
_space_group_name_H-M_alt 'P 4/m m m'
_space_group_IT_number 123
_space_group_name_Hall '-P 4 2'
loop_
_atom_site_label
_atom_site_type_symbol
_atom_site_fract_x
_atom_site_fract_y
_atom_site_fract_z
Li1 Li 0.000 0.000 0.000
Se1 Se 0.000 0.500 0.000
Br1 Br 0.000 0.000 0.500
N1 N 0.500 0.500 0.500
# Distance to the lowest polymorph of the same formula = 4.59 eV/f.u.
# Magnetization = 0.235 μB/atom
# Crystal system = tetragonal
# DOS at the Fermi energy = 3.87 states/eV/f.u.
# Theoretical density = 3.68 Mg/m³

***

# LiTe2BrN PBE relaxed
data_LiTe2BrN
_cell_length_a 6.009
_cell_length_b 6.009
_cell_length_c 3.670
_cell_angle_alpha 90.00
_cell_angle_beta 90.00
_cell_angle_gamma 90.00
_space_group_name_H-M_alt 'P 4/m m m'
_space_group_IT_number 123
_space_group_name_Hall '-P 4 2'
loop_
_atom_site_label
_atom_site_type_symbol
_atom_site_fract_x
_atom_site_fract_y
_atom_site_fract_z
Li1 Li 0.000 0.000 0.000
Te1 Te 0.000 0.500 0.500
Br1 Br 0.500 0.500 0.500
N1 N 0.500 0.500 0.000
# Distance to the lowest polymorph of the same formula = 0.53 eV/f.u.
# Magnetization = 0.000 μB/atom
# Crystal system = tetragonal
# DOS at the Fermi energy = 3.45 states/eV/f.u.
# Theoretical density = 4.46 Mg/m³

***

# LiTe2BrN PBE relaxed
data_LiTe2BrN
_cell_length_a 5.429
_cell_length_b 5.429
_cell_length_c 3.651
_cell_angle_alpha 90.00
_cell_angle_beta 90.00
_cell_angle_gamma 90.00
_space_group_name_H-M_alt 'P 4/m m m'
_space_group_IT_number 123
_space_group_name_Hall '-P 4 2'
loop_
_atom_site_label
_atom_site_type_symbol
_atom_site_fract_x
_atom_site_fract_y
_atom_site_fract_z
Li1 Li 0.000 0.000 0.000
Te1 Te 0.000 0.500 0.000
Br1 Br 0.500 0.500 0.500
N1 N 0.000 0.000 0.500
# Distance to the lowest polymorph of the same formula = 0.00 eV/f.u.
# Magnetization = 0.220 μB/atom
# Crystal system = tetragonal
# DOS at the Fermi energy = 3.89 states/eV/f.u.
# Theoretical density = 5.49 Mg/m³

***

# LiTeBr2N PBE relaxed
data_LiTeBr2N
_cell_length_a 5.037
_cell_length_b 5.037
_cell_length_c 4.536
_cell_angle_alpha 90.00
_cell_angle_beta 90.00
_cell_angle_gamma 90.00
_space_group_name_H-M_alt 'P 4/m m m'
_space_group_IT_number 123
_space_group_name_Hall '-P 4 2'
loop_
_atom_site_label
_atom_site_type_symbol
_atom_site_fract_x
_atom_site_fract_y
_atom_site_fract_z
Li1 Li 0.000 0.000 0.000
Te1 Te 0.500 0.500 0.000
Br1 Br 0.000 0.500 0.500
N1 N 0.500 0.500 0.500
# Magnetization = 0.023 μB/atom
# Crystal system = tetragonal
# DOS at the Fermi energy = 3.78 states/eV/f.u.
# Theoretical density = 4.45 Mg/m³
# Uncorrected energy = -14.423 eV/cell

***

# LiUBrN2 PBE relaxed
data_LiUBrN2
_cell_length_a 6.487
_cell_length_b 3.407
_cell_length_c 7.807
_cell_angle_alpha 90.00
_cell_angle_beta 104.46
_cell_angle_gamma 90.00
_space_group_name_H-M_alt 'P 1 21/m 1'
_space_group_IT_number 11
loop_
_space_group_symop_operation_xyz
'x,y,z'
'-x,-y,-z'
'-x,y+1/2,-z'
'x,-y+1/2,z'
loop_
_atom_site_label
_atom_site_type_symbol
_atom_site_fract_x
_atom_site_fract_y
_atom_site_fract_z
Li1 Li 0.190 0.250 0.228
U1 U 0.316 0.250 0.830
Br1 Br 0.242 0.750 0.472
N1 N 0.139 0.750 0.852
N2 N 0.462 0.250 0.125
# Magnetization = 0.000 μB/atom
# Crystal system = monoclinic
# Theoretical density = 7.02 Mg/m³
# Uncorrected energy = -74.358 eV/cell

***

# Na6LiBr8 PBE relaxed
data_Na6LiBr8
_cell_length_a 11.952
_cell_length_b 11.952
_cell_length_c 11.952
_cell_angle_alpha 90.00
_cell_angle_beta 90.00
_cell_angle_gamma 90.00
_space_group_name_H-M_alt 'F m -3 m'
_space_group_IT_number 225
_space_group_name_Hall '-F 4 2 3'
loop_
_atom_site_label
_atom_site_type_symbol
_atom_site_fract_x
_atom_site_fract_y
_atom_site_fract_z
Na1 Na 0.000 0.250 0.250
Li1 Li 0.000 0.000 0.000
Br1 Br 0.000 0.000 0.235
Br2 Br 0.250 0.250 0.250
# Magnetization = 0.067 μB/atom
# Crystal system = cubic
# DOS at the Fermi energy = 17.84 states/eV/f.u.
# Theoretical density = 3.05 Mg/m³
# Uncorrected energy = -175.579 eV/cell

***

# Na2LiBr PBE relaxed
data_Na2LiBr
_cell_length_a 3.865
_cell_length_b 3.865
_cell_length_c 7.205
_cell_angle_alpha 90.00
_cell_angle_beta 90.00
_cell_angle_gamma 90.00
_space_group_name_H-M_alt 'P 4/m m m'
_space_group_IT_number 123
_space_group_name_Hall '-P 4 2'
loop_
_atom_site_label
_atom_site_type_symbol
_atom_site_fract_x
_atom_site_fract_y
_atom_site_fract_z
Na1 Na 0.000 0.000 0.239
Li1 Li 0.500 0.500 0.500
Br1 Br 0.500 0.500 0.000
# Distance to the lowest polymorph of the same formula = 0.00 eV/f.u.
# Magnetization = 0.000 μB/atom
# Crystal system = tetragonal
# DOS at the Fermi energy = 0.46 states/eV/f.u.
# Theoretical density = 2.05 Mg/m³